1.
{"formula": "TiAlH2Cl", "functional": "PBE", "state": "relaxed", "lattice_angstrom": [[3.743, 0.000, 0.000], [0.000, 3.743, 0.000], [0.000, 0.000, 5.663]], "species": ["Ti", "Al", "H", "H", "Cl"], "frac_coords": [[0.000, 0.000, 0.000], [0.000, 0.000, 0.500], [0.000, 0.500, 0.000], [0.500, 0.000, 0.000], [0.500, 0.500, 0.500]], "magnetic_moment_mub_per_cell": 1.1, "sg": "P4/mmm", "energy_ev_per_atom": -3.937}

=====

2.
{"formula": "NbInPb2", "functional": "PBE", "state": "relaxed", "lattice_angstrom": [[3.209, 0.000, 0.000], [-1.605, 2.779, 0.000], [0.000, 0.000, 36.271]], "species": ["Nb", "Nb", "Nb", "In", "In", "In", "Pb", "Pb", "Pb", "Pb", "Pb", "Pb"], "frac_coords": [[0.000, 0.000, 0.000], [0.333, 0.667, 0.667], [0.667, 0.333, 0.333], [0.000, 0.000, 0.500], [0.333, 0.667, 0.167], [0.667, 0.333, 0.833], [0.000, 0.000, 0.082], [0.000, 0.000, 0.918], [0.333, 0.667, 0.585], [0.333, 0.667, 0.748], [0.667, 0.333, 0.252], [0.667, 0.333, 0.415]], "magnetic_moment_mub_per_cell": 0.0, "sg": "R-3m", "formation_energy_ev_per_atom": 0.55}

=====

3.
{"formula": "CoAgRu2", "functional": "PBE", "state": "relaxed", "lattice_angstrom": [[2.702, 0.000, 0.000], [-1.351, 2.340, 0.000], [0.000, 0.000, 26.928]], "species": ["Co", "Co", "Co", "Ag", "Ag", "Ag", "Ru", "Ru", "Ru", "Ru", "Ru", "Ru"], "frac_coords": [[0.000, 0.000, 0.000], [0.333, 0.667, 0.667], [0.667, 0.333, 0.333], [0.000, 0.000, 0.500], [0.333, 0.667, 0.167], [0.667, 0.333, 0.833], [0.000, 0.000, 0.259], [0.000, 0.000, 0.741], [0.333, 0.667, 0.408], [0.333, 0.667, 0.925], [0.667, 0.333, 0.075], [0.667, 0.333, 0.592]], "magnetic_moment_mub_per_cell": 5.0, "sg": "R-3m", "formation_energy_ev_per_atom": 0.36}

=====

4.
{"formula": "K2RbGaAu2", "functional": "PBE", "state": "relaxed", "lattice_angstrom": [[4.848, 0.000, 0.000], [0.000, 8.856, 0.000], [0.000, 0.000, 9.785]], "species": ["K", "K", "K", "K", "Rb", "Rb", "Ga", "Ga", "Au", "Au", "Au", "Au"], "frac_coords": [[0.000, 0.087, 0.000], [0.000, 0.913, 0.500], [0.500, 0.172, 0.683], [0.500, 0.828, 0.183], [0.500, 0.457, 0.053], [0.500, 0.543, 0.553], [0.000, 0.268, 0.337], [0.000, 0.732, 0.837], [0.000, 0.432, 0.800], [0.000, 0.568, 0.300], [0.500, 0.180, 0.328], [0.500, 0.820, 0.828]], "magnetic_moment_mub_per_cell": 0.0, "sg": "Pmc2_1", "formation_energy_ev_per_atom": -0.22}